Entry from Alexandria via LeMat-Bulk: a relaxed structure of Li2InFe (PBE-GGA).

abc: 2.829 4.043 5.814
angles: 90.00 90.00 90.00
Fractional coordinates of all 4 atoms:
1 Fe 0.000 0.000 0.500
2 In 0.500 0.500 0.732
3 Li 0.000 0.000 0.010
4 Li 0.500 0.500 0.258

Summary:
Energy of formation from the pure elements in eV/atom: 0.13
Space group: Pmm2, No. 25